# 1
PBE Ag2AuSe, relaxed; ΔE_f (raw) = 0.091 eV/atom; calculated density = 10.468 g/cm³
1.0
-5.019 -0.917 -2.461
-3.099 -1.426 -4.523
-0.087 -4.859 1.117
Se Au Ag
1 1 2
Direct
0.288 0.288 0.192
0.466 0.466 0.571
0.713 0.713 0.686
0.033 0.033 0.051



# 2
PBE BaCa2Zr, relaxed; E above lowest polymorph = 163 meV per atom; ΔH_f (0 K) = 489 meV per atom; calculated density = 3.472 g/cm³
1.0
3.941 0.000 0.000
0.000 6.049 0.000
0.000 0.000 6.193
Ba Ca Zr
1 2 1
Direct
0.000 0.500 0.500
0.500 0.500 0.000
0.000 0.000 0.000
0.500 0.000 0.500



# 3
PBE Cd6CuAu10, relaxed; ΔH_f (0 K) = -73 meV per atom; calculated density = 13.578 g/cm³
1.0
5.582 0.000 0.000
0.000 7.168 -4.138
0.000 0.000 8.276
Cd Au Cu
6 10 1
Direct
0.285 0.617 0.617
0.715 0.617 0.000
0.715 0.000 0.617
0.285 0.383 0.000
0.715 0.383 0.383
0.285 0.000 0.383
0.196 0.749 0.000
0.196 0.251 0.251
0.196 0.000 0.749
0.804 0.251 0.000
0.804 0.000 0.251
0.500 0.333 0.667
0.804 0.749 0.749
0.500 0.667 0.333
0.000 0.333 0.667
0.000 0.667 0.333
0.500 0.000 0.000



# 4
PBE Sr4LaTc, relaxed; ΔH_f (0 K) = 1064 meV per atom; calculated density = 3.733 g/cm³
1.0
-0.808 -6.473 2.990
-0.654 -0.607 7.120
-6.305 -1.861 2.878
Sr Tc La
4 1 1
Direct
0.375 0.375 0.874
0.375 0.375 0.375
0.874 0.375 0.375
0.375 0.874 0.375
0.750 0.750 0.750
0.000 0.000 0.000



# 5
PBE DyInGe, relaxed; ΔH_f (0 K) = -284 meV per atom; calculated density = 8.176 g/cm³
1.0
-0.078 1.834 -3.067
-2.146 -2.477 -1.427
-3.335 3.138 4.045
Ge Dy In
1 1 1
Direct
0.294 0.294 0.588
0.625 0.625 0.250
0.931 0.931 0.862



# 6
PBE AlReSe2, relaxed; ΔE_f (raw) = -0.076 eV/atom; calculated density = 8.191 g/cm³
1.0
-2.533 1.440 -1.314
-1.693 -2.693 0.313
-2.225 2.175 6.672
Se Re Al
2 1 1
Direct
0.000 0.000 0.914
0.500 0.500 0.350
0.500 0.500 0.723
0.000 0.000 0.514